Crystalline AlSiPSe at its relaxed geometry, computed with PBE.

Summary:
E_tot = -19.7 eV/cell
Energy relative to the elements, uncorrected = -0.41 eV per atom
Total magnetization = 0.0 Bohr magnetons per cell
Volume = 25.402 A^3/atom

Cell: 3.651 3.651 8.802 Å, 89.99 89.99 60.00°
Fractional coordinates of all 4 atoms:
Al: 0.239 0.239 0.213
P: 0.906 0.906 0.603
Si: 0.239 0.239 0.491
Se: 0.573 0.573 0.077